{
  "formula": "Pr6Zn2Pb",
  "functional": "GGA-PBE",
  "state": "optimized geometry",
  "lattice": [[8.437, -0.406, -3.223], [-4.632, 7.458, -2.155], [-0.230, 0.406, 9.028]],
  "species": ["Pr", "Pr", "Zn", "Pr", "Pr", "Pb", "Zn", "Pr", "Zn", "Pr", "Pr", "Pr", "Pr", "Zn", "Pr", "Pb", "Pr", "Pr"],
  "frac_coords": [[0.708, 0.027, 0.318], [0.292, 0.610, 0.318], [0.637, 0.000, 0.637], [0.201, 0.773, 0.974], [0.201, 0.227, 0.428], [0.000, 0.500, 0.500], [0.500, 0.382, 0.882], [0.512, 0.709, 0.804], [0.500, 0.618, 0.118], [0.095, 0.291, 0.804], [0.488, 0.291, 0.196], [0.292, 0.973, 0.682], [0.708, 0.390, 0.682], [0.363, 0.000, 0.363], [0.799, 0.773, 0.572], [0.000, 0.000, 0.000], [0.799, 0.227, 0.026], [0.905, 0.709, 0.196]],
  "formation_enthalpy_0k_ev_per_atom": -0.228,
  "sg": "No. 71"
}



{
  "formula": "Pr2ZnPb",
  "functional": "GGA-PBE",
  "state": "optimized geometry",
  "lattice": [[3.829, 0.000, 0.000], [0.000, 3.829, 0.000], [0.000, 0.000, 7.727]],
  "species": ["Zn", "Pr", "Pr", "Pb"],
  "frac_coords": [[0.500, 0.500, 0.000], [0.000, 0.000, 0.770], [0.000, 0.000, 0.230], [0.500, 0.500, 0.500]],
  "formation_enthalpy_0k_ev_per_atom": -0.409,
  "sg": "No. 123"
}



{
  "formula": "Pr6Zn5Pb",
  "functional": "GGA-PBE",
  "state": "optimized geometry",
  "lattice": [[5.110, -0.007, -1.434], [-3.831, 7.459, -3.851], [-0.190, -1.065, 9.163]],
  "species": ["Zn", "Zn", "Pr", "Pb", "Pr", "Zn", "Pr", "Pr", "Zn", "Pr", "Pr", "Zn"],
  "frac_coords": [[0.500, 0.167, 0.833], [0.500, 0.500, 0.500], [0.743, 0.915, 0.571], [0.000, 0.000, 0.000], [0.743, 0.571, 0.915], [0.000, 0.332, 0.668], [0.237, 0.737, 0.737], [0.257, 0.085, 0.429], [0.000, 0.668, 0.332], [0.763, 0.263, 0.263], [0.257, 0.429, 0.085], [0.500, 0.833, 0.167]],
  "formation_enthalpy_0k_ev_per_atom": -0.332,
  "sg": "No. 12"
}



{
  "formula": "Pr4ZnPb",
  "functional": "GGA-PBE",
  "state": "optimized geometry",
  "lattice": [[5.267, 0.000, -0.001], [0.000, 5.267, -0.001], [0.004, 0.007, 7.475]],
  "species": ["Pr", "Pb", "Pr", "Pr", "Pr", "Zn"],
  "frac_coords": [[0.001, 0.497, 0.727], [0.501, 0.497, 0.998], [0.501, 0.997, 0.270], [0.001, 0.497, 0.270], [0.501, 0.998, 0.727], [0.001, 0.997, 0.498]],
  "formation_enthalpy_0k_ev_per_atom": -0.112,
  "sg": "No. 123"
}



{
  "formula": "PrZrPb2",
  "functional": "GGA-PBE",
  "state": "optimized geometry",
  "lattice": [[-3.597, 0.545, 3.267], [-3.929, -2.906, -0.181], [0.046, -4.453, 4.452]],
  "species": ["Zr", "Pr", "Pb", "Pb"],
  "frac_coords": [[0.500, 0.500, 0.500], [0.000, 0.000, 0.000], [0.762, 0.762, 0.713], [0.238, 0.238, 0.287]],
  "formation_enthalpy_0k_ev_per_atom": -0.258,
  "sg": "No. 166"
}



{
  "formula": "PrZrPb2",
  "functional": "GGA-PBE",
  "state": "optimized geometry",
  "lattice": [[-3.533, 2.872, 0.189], [-2.231, -2.510, -3.558], [-2.138, -2.851, 3.352]],
  "species": ["Pr", "Pb", "Zr", "Pb"],
  "frac_coords": [[0.500, 0.000, 0.000], [0.000, 0.000, 0.500], [0.500, 0.500, 0.500], [0.000, 0.500, 0.000]],
  "formation_enthalpy_0k_ev_per_atom": -0.235,
  "sg": "No. 123"
}



{
  "formula": "PrZrPb2",
  "functional": "GGA-PBE",
  "state": "optimized geometry",
  "lattice": [[-4.377, -1.313, -2.545], [0.363, -4.058, -4.008], [-1.530, -5.506, -0.004]],
  "species": ["Pb", "Pr", "Zr", "Pb"],
  "frac_coords": [[0.497, 0.504, 0.504], [0.750, 0.750, 0.750], [0.250, 0.250, 0.250], [0.003, 0.996, 0.996]],
  "formation_enthalpy_0k_ev_per_atom": -0.260,
  "sg": "No. 12"
}



{
  "formula": "PrZrPb2",
  "functional": "GGA-PBE",
  "state": "optimized geometry",
  "lattice": [[4.006, 0.000, 0.000], [0.000, 4.006, 0.000], [0.000, 0.000, 6.840]],
  "species": ["Pb", "Pr", "Pb", "Zr"],
  "frac_coords": [[0.000, 0.000, 0.225], [0.500, 0.500, 0.500], [0.000, 0.000, 0.775], [0.500, 0.500, 0.000]],
  "formation_enthalpy_0k_ev_per_atom": -0.265,
  "sg": "No. 123"
}



{
  "formula": "Pt3Pb",
  "functional": "GGA-PBE",
  "state": "optimized geometry",
  "lattice": [[-2.467, 1.793, -4.429], [-5.093, -1.623, -0.584], [3.281, 2.631, 3.351]],
  "species": ["Pt", "Pt", "Pb", "Pt"],
  "frac_coords": [[0.587, 0.238, 0.349], [0.111, 0.762, 0.349], [0.967, 0.000, 0.967], [0.502, 0.500, 0.002]],
  "formation_enthalpy_0k_ev_per_atom": 0.029,
  "sg": "No. 44"
}



{
  "formula": "Pt4Pb5",
  "functional": "GGA-PBE",
  "state": "optimized geometry",
  "lattice": [[4.144, -5.374, -1.083], [-1.441, 4.289, 5.172], [-5.962, -3.416, -0.046]],
  "species": ["Pb", "Pt", "Pb", "Pb", "Pt", "Pt", "Pt", "Pb", "Pb"],
  "frac_coords": [[0.321, 0.321, 0.641], [0.650, 0.000, 0.650], [0.679, 0.321, 0.000], [0.321, 0.679, 0.000], [0.000, 0.650, 0.650], [0.000, 0.350, 0.350], [0.350, 0.000, 0.350], [0.679, 0.679, 0.359], [0.000, 0.000, 0.000]],
  "formation_enthalpy_0k_ev_per_atom": 0.131,
  "relative_energy_mev_per_atom": 148,
  "sg": "No. 139"
}



{
  "formula": "Pt2Pb5",
  "functional": "GGA-PBE",
  "state": "optimized geometry",
  "lattice": [[6.775, 0.000, 0.000], [0.000, 7.111, -0.157], [-3.388, -1.262, 7.693]],
  "species": ["Pb", "Pb", "Pb", "Pb", "Pt", "Pb", "Pb", "Pt", "Pb", "Pt", "Pt", "Pb", "Pb", "Pb"],
  "frac_coords": [[0.969, 0.944, 0.180], [0.211, 0.444, 0.180], [0.789, 0.556, 0.820], [0.031, 0.056, 0.820], [0.385, 0.079, 0.224], [0.611, 0.789, 0.430], [0.181, 0.711, 0.570], [0.615, 0.921, 0.776], [0.566, 0.250, 0.000], [0.162, 0.421, 0.776], [0.838, 0.579, 0.224], [0.434, 0.750, 0.000], [0.819, 0.289, 0.430], [0.389, 0.211, 0.570]],
  "formation_enthalpy_0k_ev_per_atom": -0.138,
  "sg": "No. 15"
}



{
  "formula": "PtPb",
  "functional": "GGA-PBE",
  "state": "optimized geometry",
  "lattice": [[3.870, 0.000, 0.000], [-1.935, 3.352, 0.000], [0.000, 0.000, 3.597]],
  "species": ["Pt", "Pb"],
  "frac_coords": [[0.333, 0.667, 0.500], [0.000, 0.000, 0.000]],
  "formation_enthalpy_0k_ev_per_atom": 0.013,
  "sg": "No. 187"
}



{
  "formula": "PtPb3",
  "functional": "GGA-PBE",
  "state": "optimized geometry",
  "lattice": [[-0.780, 0.398, 3.666], [3.554, -0.572, -1.119], [1.226, 9.019, -0.718]],
  "species": ["Pt", "Pb", "Pb", "Pb"],
  "frac_coords": [[0.333, 0.667, 0.750], [0.000, 0.000, 0.550], [0.333, 0.667, 0.250], [0.000, 0.000, 0.950]],
  "formation_enthalpy_0k_ev_per_atom": -0.028,
  "relative_energy_mev_per_atom": 113,
  "sg": "No. 187"
}



{
  "formula": "PtPb3",
  "functional": "GGA-PBE",
  "state": "optimized geometry",
  "lattice": [[4.377, -7.582, 0.000], [4.377, 7.582, 0.000], [0.000, 0.000, 3.632]],
  "species": ["Pb", "Pb", "Pt", "Pt", "Pb", "Pb", "Pb", "Pb"],
  "frac_coords": [[0.810, 0.190, 0.250], [0.190, 0.381, 0.750], [0.667, 0.333, 0.750], [0.333, 0.667, 0.250], [0.381, 0.190, 0.250], [0.810, 0.619, 0.250], [0.190, 0.810, 0.750], [0.619, 0.810, 0.750]],
  "formation_enthalpy_0k_ev_per_atom": -0.048,
  "relative_energy_mev_per_atom": 93,
  "sg": "No. 194"
}



{
  "formula": "Pt3Pb2",
  "functional": "GGA-PBE",
  "state": "optimized geometry",
  "lattice": [[0.000, 4.884, 8.488], [2.550, 0.000, 8.488], [2.550, 4.884, 0.000]],
  "species": ["Pt", "Pt", "Pt", "Pt", "Pt", "Pt", "Pb", "Pb", "Pb", "Pb"],
  "frac_coords": [[0.298, 0.202, 0.202], [0.048, 0.952, 0.952], [0.404, 0.875, 0.869], [0.381, 0.399, 0.846], [0.375, 0.846, 0.399], [0.851, 0.869, 0.875], [0.395, 0.507, 0.296], [0.803, 0.296, 0.507], [0.743, 0.855, 0.447], [0.954, 0.447, 0.855]],
  "formation_enthalpy_0k_ev_per_atom": -0.091,
  "relative_energy_mev_per_atom": 17,
  "sg": "No. 43"
}



{
  "formula": "PtPb3",
  "functional": "GGA-PBE",
  "state": "optimized geometry",
  "lattice": [[-2.935, -5.251, 2.371], [5.664, 1.923, 2.454], [-3.042, 3.598, 4.202]],
  "species": ["Pt", "Pb", "Pb", "Pb", "Pb", "Pt", "Pb", "Pb"],
  "frac_coords": [[0.667, 0.333, 0.000], [0.000, 0.318, 0.725], [0.318, 0.000, 0.725], [0.000, 0.682, 0.275], [0.318, 0.318, 0.275], [0.333, 0.667, 0.000], [0.682, 0.682, 0.725], [0.682, 0.000, 0.275]],
  "formation_enthalpy_0k_ev_per_atom": -0.074,
  "relative_energy_mev_per_atom": 66,
  "sg": "No. 162"
}



{
  "formula": "Pt3Pb",
  "functional": "GGA-PBE",
  "state": "optimized geometry",
  "lattice": [[4.058, -4.856, 0.000], [4.058, 4.856, 0.000], [0.000, 0.000, 4.266]],
  "species": ["Pt", "Pt", "Pt", "Pb", "Pt", "Pt", "Pb", "Pt"],
  "frac_coords": [[0.925, 0.075, 0.750], [0.075, 0.925, 0.250], [0.976, 0.358, 0.250], [0.367, 0.633, 0.250], [0.642, 0.024, 0.250], [0.358, 0.976, 0.750], [0.633, 0.367, 0.750], [0.024, 0.642, 0.750]],
  "formation_enthalpy_0k_ev_per_atom": 0.047,
  "sg": "No. 63"
}



{
  "formula": "PtPb",
  "functional": "GGA-PBE",
  "state": "optimized geometry",
  "lattice": [[-3.831, 2.056, 8.920], [-7.856, -5.702, -2.060], [1.931, -3.229, 1.573]],
  "species": ["Pb", "Pb", "Pt", "Pb", "Pt", "Pt", "Pt", "Pb", "Pt", "Pt", "Pb", "Pb", "Pb", "Pb", "Pt", "Pt"],
  "frac_coords": [[0.119, 0.203, 0.000], [0.619, 0.703, 0.500], [0.391, 0.910, 0.500], [0.797, 0.119, 0.000], [0.590, 0.891, 0.000], [0.410, 0.109, 0.000], [0.609, 0.090, 0.500], [0.703, 0.381, 0.500], [0.090, 0.391, 0.500], [0.109, 0.590, 0.000], [0.297, 0.619, 0.500], [0.203, 0.881, 0.000], [0.881, 0.797, 0.000], [0.381, 0.297, 0.500], [0.891, 0.410, 0.000], [0.910, 0.609, 0.500]],
  "formation_enthalpy_0k_ev_per_atom": -0.065,
  "sg": "No. 87"
}



{
  "formula": "PtPb",
  "functional": "GGA-PBE",
  "state": "optimized geometry",
  "lattice": [[2.158, 3.702, -0.517], [-2.158, 3.702, -0.517], [0.000, 1.226, 8.788]],
  "species": ["Pt", "Pb", "Pt", "Pb", "Pb", "Pt"],
  "frac_coords": [[0.306, 0.306, 0.072], [0.639, 0.639, 0.248], [0.306, 0.306, 0.399], [0.972, 0.972, 0.928], [0.639, 0.639, 0.660], [0.972, 0.972, 0.526]],
  "formation_enthalpy_0k_ev_per_atom": -0.110,
  "sg": "No. 156"
}



{
  "formula": "Pt3Pb4",
  "functional": "GGA-PBE",
  "state": "optimized geometry",
  "lattice": [[1.444, 1.657, 5.051], [-3.274, 3.160, -3.104], [-4.973, -2.841, 2.353]],
  "species": ["Pt", "Pb", "Pt", "Pt", "Pb", "Pb", "Pb"],
  "frac_coords": [[0.500, 0.000, 0.000], [0.667, 0.333, 0.500], [0.500, 0.500, 0.000], [0.000, 0.500, 0.000], [0.000, 0.000, 0.240], [0.333, 0.667, 0.500], [0.000, 0.000, 0.760]],
  "formation_enthalpy_0k_ev_per_atom": -0.009,
  "sg": "No. 191"
}



no.,E (eV per atom),spin magnetization (μB/cell)
1,-4.1098,0.0
2,-4.0448,0.0
3,-3.5612,0.0
4,-4.1291,0.0
5,-5.4444,0.0
6,-5.4212,0.0
7,-5.4458,0.0
8,-5.4515,0.0
9,-5.4286,0.0
10,-4.6137,0.0
11,-4.5125,0.0
12,-4.8619,0.0
13,-4.3191,0.0
14,-4.3395,0.0
15,-5.1992,0.0
16,-4.3657,0.0
17,-5.4110,0.0
18,-4.9398,0.0
19,-4.9848,0.0
20,-4.7167,0.0